No. 1
First-principles (PBE+U) data for Mn4Be2O after structural relaxation, as listed in Alexandria via LeMat-Bulk.

a b c (Å): 6.5423 6.5423 6.5423
angles (deg): 142.38 142.38 54.26
Last column: nearest neighbours and their distance in Å.
Element x y z (fractional)
1 Mn 0.0000 0.5000 0.5000  2 O 2.11
2 Mn 0.1896 0.1896 0.0000  1 O 2.21, 1 Be 2.38
3 Mn 0.5000 0.0000 0.5000  2 O 2.11
4 Mn 0.8104 0.8104 0.0000  1 O 2.21, 1 Be 2.38
5 Be 0.3936 0.3936 0.0000  5 Mn 2.38-2.45, 1 Be 2.48
6 Be 0.6064 0.6064 0.0000  5 Mn 2.38-2.45, 1 Be 2.48
7 O 0.0000 0.0000 0.0000  6 Mn 2.11-2.21

DFT total energy in eV per atom: -5.810
Space-group type: I4/mmm, No. 139
Size of the total moment in μB/cell: 16.12
Calculated volume in A^3/atom: 14.8

=====

No. 2
First-principles (PBE+U) data for MnBeO3 after structural relaxation, as listed in Alexandria via LeMat-Bulk.

a b c (Å): 3.6484 3.6484 3.6484
angles (deg): 90.00 90.00 90.00
Last column: nearest neighbours and their distance in Å.
Element x y z (fractional)
1 Mn 0.0000 0.0000 0.0000  6 O 1.82
2 Be 0.5000 0.5000 0.5000  12 O 2.58
3 O 0.0000 0.0000 0.5000  2 Mn 1.82
4 O 0.0000 0.5000 0.0000  2 Mn 1.82
5 O 0.5000 0.0000 0.0000  2 Mn 1.82

DFT total energy in eV per atom: -5.782
Space-group type: Pm-3m, No. 221
Size of the total moment in μB/cell: 3.05
Calculated volume in A^3/atom: 9.7

=====

No. 3
First-principles (PBE+U) data for MnBe3O after structural relaxation, as listed in Alexandria via LeMat-Bulk.

a b c (Å): 3.5148 3.5148 3.5148
angles (deg): 90.00 90.00 90.00
Last column: nearest neighbours and their distance in Å.
Element x y z (fractional)
1 Mn 0.0000 0.0000 0.0000  12 Be 2.49
2 Be 0.0000 0.5000 0.5000  2 O 1.76
3 Be 0.5000 0.0000 0.5000  2 O 1.76
4 Be 0.5000 0.5000 0.0000  2 O 1.76
5 O 0.5000 0.5000 0.5000  6 Be 1.76

DFT total energy in eV per atom: -4.464
Space-group type: Pm-3m, No. 221
Size of the total moment in μB/cell: 0.99
Calculated volume in A^3/atom: 8.7

=====

No. 4
First-principles (PBE+U) data for Mn4BeO6 after structural relaxation, as listed in Alexandria via LeMat-Bulk.

a b c (Å): 5.6621 5.6621 10.2472
angles (deg): 112.18 112.18 57.09
Last column: nearest neighbours and their distance in Å.
Element x y z (fractional)
1 Mn 0.0533 0.3720 0.8115  4 O 2.11-2.22
2 Mn 0.1360 0.8640 0.5000  4 O 2.07-2.14
3 Mn 0.3720 0.0533 0.3115  4 O 2.11-2.22
4 Mn 0.4087 0.7331 0.8448  5 O 1.98-2.10
5 Mn 0.6734 0.9987 0.6522  4 O 1.92-2.08
6 Mn 0.7331 0.4087 0.3448  5 O 1.98-2.10
7 Mn 0.8640 0.1360 0.0000  4 O 2.07-2.14
8 Mn 0.9987 0.6734 0.1522  4 O 1.92-2.08
9 Be 0.0670 0.4657 0.5767  4 O 1.58-1.71
10 Be 0.4657 0.0670 0.0767  4 O 1.58-1.71
11 O 0.0583 0.6769 0.7405  1 Be 1.65
12 O 0.2551 0.3661 0.0308  1 Be 1.58
13 O 0.2962 0.7220 0.3176  4 Mn 1.94-2.17
14 O 0.3075 0.8720 0.0346  1 Be 1.62
15 O 0.3640 0.9422 0.7101  3 Mn 2.00-2.22
16 O 0.3661 0.2551 0.5308  1 Be 1.58
17 O 0.6769 0.0583 0.2405  1 Be 1.65
18 O 0.7220 0.2962 0.8176  4 Mn 1.94-2.17
19 O 0.7221 0.8386 0.9766  1 Be 1.71
20 O 0.8386 0.7221 0.4766  1 Be 1.71
21 O 0.8720 0.3075 0.5346  1 Be 1.62
22 O 0.9422 0.3640 0.2101  3 Mn 2.00-2.22

DFT total energy in eV per atom: -7.447
Space-group type: Cc, No. 9
Size of the total moment in μB/cell: 36.00
Calculated volume in A^3/atom: 11.3